FeRuF3, relaxed, DFT GGA+U; SG = No. 221; crystal system = cubic; E above lowest polymorph = 25 meV per atom
1.0
3.9990 0.0000 0.0000
0.0000 3.9990 0.0000
0.0000 0.0000 3.9990
Fe Ru F
1 1 3
Direct
0.0000 0.0000 0.0000 Fe
0.5000 0.5000 0.5000 Ru
0.0000 0.0000 0.5000 F
0.0000 0.5000 0.0000 F
0.5000 0.0000 0.0000 F